The following is a GGA-PBE calculation of a relaxed Eu2Zn4Ni crystal, from the Alexandria database.

calculated formation energy = -0.1355 eV per atom

Cell lengths 4.6312, 4.6312, 15.5490 Å; angles 90.00, 90.00, 90.00 degrees
Atoms (fractional coordinates):
1 Eu 0.0000 0.0000 0.1471
2 Eu 0.0000 0.0000 0.8529
3 Eu 0.5000 0.5000 0.3529
4 Eu 0.5000 0.5000 0.6471
5 Zn 0.0000 0.0000 0.3494
6 Zn 0.0000 0.0000 0.6506
7 Zn 0.0000 0.5000 0.0000
8 Zn 0.0000 0.5000 0.5000
9 Zn 0.5000 0.0000 0.0000
10 Zn 0.5000 0.0000 0.5000
11 Zn 0.5000 0.5000 0.1506
12 Zn 0.5000 0.5000 0.8494
13 Ni 0.0000 0.0000 0.5000
14 Ni 0.5000 0.5000 0.0000